Entry from the Alexandria database: an optimized crystal structure of ZrTiCu (GGA-PBEsol).

Lattice parameters (Å, degrees): 3.054 3.054 5.795 105.28 105.28 90.00
Positions (direct):
Cu (0.986, 0.986, 0.971)
Zr (0.664, 0.664, 0.328)
Ti (0.350, 0.350, 0.701)

Symmetry = I4mm (107)
Raw total energy = -22.07 eV/cell
Crystal system = tetragonal
Calculated volume = 16.72 Å³ per atom
ΔE_f = -0.106 eV/atom
Density of states at the Fermi level = 1.537 states/eV per cell
Size of the total moment = 0.00 μB/atom
Theoretical density = 6709 kg/m3



Entry from the Alexandria database: an optimized crystal structure of Tl3Bi (GGA-PBEsol).

Lattice parameters (Å, degrees): 5.605 6.938 6.938 120.00 90.00 90.00
Positions (direct):
Tl (0.250, 0.169, 0.831)
Tl (0.750, 0.339, 0.169)
Tl (0.250, 0.169, 0.339)
Bi (0.750, 0.333, 0.667)
Tl (0.750, 0.831, 0.661)
Tl (0.250, 0.661, 0.831)
Tl (0.750, 0.831, 0.169)
Bi (0.250, 0.667, 0.333)

Symmetry = P6_3/mmc (194)
Raw total energy = -24.60 eV/cell
ΔE to the lowest computed polymorph = 0.0 kJ per mole of atoms
Crystal system = hexagonal
Calculated volume = 29.21 Å³ per atom
ΔE_f = -0.031 eV/atom
Density of states at the Fermi level = 3.519 states/eV per cell
Size of the total moment = 0.00 μB/atom
Theoretical density = 11684 kg/m3



Entry from the Alexandria database: an optimized crystal structure of Sb2Te (GGA-PBEsol).

Lattice parameters (Å, degrees): 4.035 5.796 8.164 97.93 90.00 110.37
Positions (direct):
Te (0.285, 0.571, 0.950)
Sb (0.615, 0.231, 0.285)
Te (0.949, 0.898, 0.621)
Sb (0.319, 0.637, 0.322)
Sb (0.005, 0.011, 0.003)
Sb (0.659, 0.319, 0.654)

Symmetry = Cm (8)
Raw total energy = -24.70 eV/cell
Formation energy (no corrections) = 0.098 eV per atom
ΔE to the lowest computed polymorph = 10.4 kJ per mole of atoms
Crystal system = monoclinic
Calculated volume = 29.50 Å³ per atom
Density of states at the Fermi level = 3.152 states/eV per cell
Size of the total moment = 0.00 μB/atom
Theoretical density = 6962 kg/m3



Entry from the Alexandria database: an optimized crystal structure of BaHg4 (GGA-PBEsol).

Lattice parameters (Å, degrees): 6.453 6.453 6.453 109.47 109.47 109.47
Positions (direct):
Hg (0.000, 0.000, 0.500)
Hg (0.500, 0.000, 0.000)
Ba (0.000, 0.000, 0.000)
Hg (0.500, 0.500, 0.500)
Hg (0.000, 0.500, 0.000)

Symmetry = Im-3m (229)
Raw total energy = -3.94 eV/cell
ΔE to the lowest computed polymorph = 49.7 kJ per mole of atoms
Crystal system = cubic
Calculated volume = 41.38 Å³ per atom
ΔE_f = 0.096 eV/atom
Density of states at the Fermi level = 2.760 states/eV per cell
Size of the total moment = 0.00 μB/atom
Theoretical density = 7542 kg/m3